(1)
The following is a meta-GGA SCAN calculation of a PBEsol-optimized structure of CuPb2Se, from Alexandria.

E_form (uncorrected): 0.24 eV/atom
Energy: -46.4748 eV/atom

Structure (CIF):
```
data_CuPb2Se
_chemical_formula_sum 'Cu2 Pb4 Se2'
_symmetry_space_group_name_H-M 'I m m m'
_symmetry_Int_Tables_number 71
_symmetry_space_group_name_Hall '-I 2 2'
_cell_length_a 4.289
_cell_length_b 5.331
_cell_length_c 8.211
_cell_angle_alpha 90.00
_cell_angle_beta 90.00
_cell_angle_gamma 90.00
loop_
_atom_site_label
_atom_site_type_symbol
_atom_site_fract_x
_atom_site_fract_y
_atom_site_fract_z
_atom_site_occupancy
Cu1 Cu 0.000 0.000 0.000 1
Pb1 Pb 0.000 0.500 0.277 1
Se1 Se 0.000 0.000 0.500 1
```

(2)
The following is a meta-GGA SCAN calculation of a PBEsol-optimized structure of CuPb2Se, from Alexandria.

E_form (uncorrected): 0.17 eV/atom
Energy: -46.5369 eV/atom

Structure (CIF):
```
data_CuPb2Se
_chemical_formula_sum 'Cu2 Pb4 Se2'
_symmetry_space_group_name_H-M 'C m m m'
_symmetry_Int_Tables_number 65
_symmetry_space_group_name_Hall '-C 2 2'
_cell_length_a 6.758
_cell_length_b 7.548
_cell_length_c 3.607
_cell_angle_alpha 90.00
_cell_angle_beta 90.00
_cell_angle_gamma 90.00
loop_
_atom_site_label
_atom_site_type_symbol
_atom_site_fract_x
_atom_site_fract_y
_atom_site_fract_z
_atom_site_occupancy
Cu1 Cu 0.000 0.000 0.000 1
Pb1 Pb 0.250 0.250 0.500 1
Se1 Se 0.000 0.500 0.000 1
```

(3)
The following is a meta-GGA SCAN calculation of a PBEsol-optimized structure of CuPb2Se, from Alexandria.

E_form (uncorrected): -0.04 eV/atom
Energy: -46.7508 eV/atom

Structure (CIF):
```
data_CuPb2Se
_chemical_formula_sum 'Cu1 Pb2 Se1'
_symmetry_space_group_name_H-M 'P 1 m 1'
_symmetry_Int_Tables_number 6
_symmetry_space_group_name_Hall 'P -2y'
_cell_length_a 4.928
_cell_length_b 3.749
_cell_length_c 5.622
_cell_angle_alpha 90.00
_cell_angle_beta 114.19
_cell_angle_gamma 90.00
loop_
_atom_site_label
_atom_site_type_symbol
_atom_site_fract_x
_atom_site_fract_y
_atom_site_fract_z
_atom_site_occupancy
Cu1 Cu 0.000 0.000 0.000 1
Pb1 Pb 0.438 0.000 0.541 1
Pb2 Pb 0.739 0.500 0.201 1
Se1 Se 0.120 0.500 0.783 1
```